Record 1
Crystalline Cu3AsRh at its relaxed geometry, computed with PBE-GGA.

The space group is Pm-3m (No. 221) and the conventional cell measures 4.596, 4.596 and 4.596 Å, with angles of 90.00, 90.00 and 90.00 degrees. The distinct sites, in fractional coordinates, are Cu at (0.000, 0.000, 0.500), As at (0.500, 0.500, 0.500) and Rh at (0.000, 0.000, 0.000).

As for the calculated formation energy: 5.570 eV/f.u. Its electronic total energy is -3.7438 eV/atom.

=====

Record 2
Crystalline CuAs2Rh at its relaxed geometry, computed with PBE-GGA.

The space group is Pm (No. 6) and the conventional cell measures 3.761, 4.722 and 4.352 Å, with angles of 90.00, 112.65 and 90.00 degrees. The distinct sites, in fractional coordinates, are Cu at (0.000, 0.000, 0.000), As at (0.318, 0.000, 0.601), As at (0.868, 0.500, 0.743) and Rh at (0.194, 0.500, 0.354).

As for the calculated formation energy: -0.505 eV/f.u. Its electronic total energy is -5.3130 eV/atom.

=====

Record 3
Crystalline CuAs2Rh at its relaxed geometry, computed with PBE-GGA.

The space group is C2/m (No. 12) and the conventional cell measures 7.839, 3.056 and 5.338 Å, with angles of 90.00, 102.18 and 90.00 degrees. The distinct sites, in fractional coordinates, are Cu at (0.000, 0.000, 0.000), As at (0.244, 0.000, 0.746) and Rh at (0.000, 0.500, 0.500).

As for the calculated formation energy: -0.193 eV/f.u. Its electronic total energy is -5.2350 eV/atom.

=====

Record 4
Crystalline CuAs2Rh at its relaxed geometry, computed with PBE-GGA.

The space group is Cm (No. 8) and the conventional cell measures 8.500, 3.322 and 4.709 Å, with angles of 90.00, 103.69 and 90.00 degrees. The distinct sites, in fractional coordinates, are Cu at (0.000, 0.000, 0.000), As at (0.004, 0.500, 0.545), As at (0.241, 0.500, 0.118) and Rh at (0.235, 0.000, 0.699).

As for the calculated formation energy: -0.212 eV/f.u. Its electronic total energy is -5.2397 eV/atom.

=====

Record 5
Crystalline CuAs2Rh at its relaxed geometry, computed with PBE-GGA.

The space group is I-42d (No. 122) and the conventional cell measures 5.431, 5.431 and 11.278 Å, with angles of 90.00, 90.00 and 90.00 degrees. The distinct sites, in fractional coordinates, are Cu at (0.000, 0.000, 0.000), As at (0.247, 0.250, 0.625) and Rh at (0.000, 0.000, 0.500).

As for the calculated formation energy: 0.179 eV/f.u. Its electronic total energy is -5.1418 eV/atom.

=====

Record 6
Crystalline CuAs2Rh at its relaxed geometry, computed with PBE-GGA.

The space group is F-43m (No. 216) and the conventional cell measures 6.280, 6.280 and 6.280 Å, with angles of 90.00, 90.00 and 90.00 degrees. The distinct sites, in fractional coordinates, are Cu at (0.000, 0.000, 0.000), As at (0.000, 0.000, 0.500), As at (0.250, 0.250, 0.750) and Rh at (0.250, 0.250, 0.250).

As for the calculated formation energy: 1.002 eV/f.u. Its electronic total energy is -4.9363 eV/atom.

=====

> Which value of calculated formation energy does entry 5 give?

0.179 eV/f.u.

=====

> Which value of electronic total energy does entry 5 give?

-5.1418 eV/atom

=====

> Which value of electronic total energy does entry 4 give?

-5.2397 eV/atom